A geometry-optimized Ce5InGa3 structure. Source: Alexandria, functional PBE.

Computed properties:
DOS at the Fermi energy	2.33	states/eV/atom
energy relative to the elements	-0.373	eV/atom
crystal system	hexagonal

The structure in CIF format:
```
data_Ce5InGa3
_symmetry_space_group_name_H-M 'P 1'
_symmetry_Int_Tables_number 1
_symmetry_space_group_name_Hall 'P 1'
_cell_length_a 6.3551
_cell_length_b 9.1179
_cell_length_c 9.1172
_cell_angle_alpha 120.00
_cell_angle_beta 90.00
_cell_angle_gamma 90.00
loop_
_atom_site_label
_atom_site_fract_x
_atom_site_fract_y
_atom_site_fract_z
Ce1 0.0000 0.6666 0.3333
Ce2 0.5000 0.3334 0.6667
Ce3 0.0000 0.3334 0.6667
Ce4 0.5000 0.6666 0.3333
Ce5 0.7500 0.6883 0.6883
Ce6 0.7500 0.0000 0.3117
Ce7 0.7500 0.3117 0.0000
Ce8 0.2500 0.3117 0.3117
Ce9 0.2500 0.0000 0.6883
Ce10 0.2500 0.6883 0.0000
In1 0.0000 0.0000 0.0000
In2 0.5000 0.0000 0.0000
Ga1 0.7500 0.3542 0.3542
Ga2 0.7500 0.0000 0.6458
Ga3 0.7500 0.6458 0.0000
Ga4 0.2500 0.6458 0.6458
Ga5 0.2500 0.0000 0.3542
Ga6 0.2500 0.3542 0.0000
```